# Rb2CoGeCl6

A geometry-optimized Rb2CoGeCl6 structure (PBE, OQMD via LeMat-Bulk).

abc: 7.148 7.148 7.148
angles: 60.00 60.00 60.00
Each line ends with the local moment (μB).
Fractional positions:
Cl (0.759, 0.241, 0.241)  0.04
Cl (0.241, 0.759, 0.241)  0.03
Cl (0.759, 0.759, 0.241)  0.04
Cl (0.241, 0.241, 0.759)  0.04
Cl (0.759, 0.241, 0.759)  0.03
Cl (0.241, 0.759, 0.759)  0.04
Co (0.000, 0.000, 0.000)  2.26
Ge (0.500, 0.500, 0.500)  0.06
Rb (0.250, 0.250, 0.250)  0.00
Rb (0.750, 0.750, 0.750)  0.00

Calculated values
**Space-group type**: Fm-3m (225)
**Total magnetization**: 0.27 μB per atom
**DFT total energy**: -3.649 eV per atom